Entry 1:
{
  "formula": "Be2MoSe",
  "functional": "PBE",
  "state": "optimized geometry",
  "e_form_raw_ev_per_atom": 0.159,
  "final_energy_ev_per_cell": -21.13,
  "cell": [[3.1491, 0.0000, 0.0000], [0.0000, 3.4206, 0.0000], [0.0000, 0.0000, 4.9115]],
  "species": ["Be", "Be", "Mo", "Se"],
  "fractional_positions": [[0.0000, 0.0000, 0.2009], [0.0000, 0.0000, 0.7991], [0.5000, 0.5000, 0.0000], [0.0000, 0.5000, 0.5000]]
}

***

Entry 2:
{
  "formula": "YErOsRh",
  "functional": "PBE",
  "state": "optimized geometry",
  "delta_e_f_ev_per_atom": -0.4884,
  "final_energy_ev_per_cell": -31.56,
  "cell": [[0.0000, 3.4058, 3.4058], [3.4058, 0.0000, 3.4058], [3.4058, 3.4058, 0.0000]],
  "species": ["Y", "Er", "Os", "Rh"],
  "fractional_positions": [[0.0000, 0.0000, 0.0000], [0.5000, 0.5000, 0.5000], [0.7500, 0.7500, 0.7500], [0.2500, 0.2500, 0.2500]]
}